# 1
Tb4Pm2Pr2Dy: relaxed, PBE-GGA.

ΔE_f: 0.0047 eV per atom

Cell lengths 9.6313, 9.6313, 9.6927 Å; angles 115.21, 115.21, 21.82 degrees
Positions (direct):
Tb 0.0192 0.0192 0.3318
Tb 0.3150 0.3150 0.6648
Tb 0.6850 0.6850 0.3352
Tb 0.9808 0.9808 0.6682
Pm 0.3531 0.3531 0.3373
Pm 0.6469 0.6469 0.6627
Pr 0.1650 0.1650 0.0003
Pr 0.8350 0.8350 0.9997
Dy 0.5000 0.5000 0.0000


# 2
TcIrRuW: relaxed, PBE-GGA.

ΔE_f: -0.1598 eV per atom

Cell lengths 3.8721, 3.8931, 3.9023 Å; angles 90.00, 90.00, 90.00 degrees
Positions (direct):
Tc 0.0000 0.0000 0.0000
Ir 0.5000 0.0000 0.5000
Ru 0.5000 0.5000 0.0000
W 0.0000 0.5000 0.5000


- Which of these has the lowest ΔE_f?
  TcIrRuW


What did the second record say?
TcIrRuW: relaxed, PBE-GGA.

ΔE_f: -0.1598 eV per atom

Cell lengths 3.8721, 3.8931, 3.9023 Å; angles 90.00, 90.00, 90.00 degrees
Positions (direct):
Tc 0.0000 0.0000 0.0000
Ir 0.5000 0.0000 0.5000
Ru 0.5000 0.5000 0.0000
W 0.0000 0.5000 0.5000


- Which formula does entry 1 have?
  Tb4Pm2Pr2Dy